Entry a
Here is a relaxed CaPH2 crystal from Alexandria via LeMat-Bulk. Energies are from GGA-PBE.

The structure in CIF format:
```
data_CaPH2
_cell_length_a 5.712
_cell_length_b 5.712
_cell_length_c 5.712
_cell_angle_alpha 90.00
_cell_angle_beta 90.00
_cell_angle_gamma 90.00
_symmetry_space_group_name_H-M 'F m -3 m'
_symmetry_Int_Tables_number 225
_symmetry_space_group_name_Hall '-F 4 2 3'
loop_
_atom_site_label
_atom_site_type_symbol
_atom_site_fract_x
_atom_site_fract_y
_atom_site_fract_z
Ca1 Ca 0.000 0.000 0.000
P1 P 0.000 0.000 0.500
H1 H 0.250 0.250 0.250
```

Entry b
Here is a relaxed CaPH2 crystal from Alexandria via LeMat-Bulk. Energies are from GGA-PBE.

The structure in CIF format:
```
data_CaPH2
_cell_length_a 4.073
_cell_length_b 4.073
_cell_length_c 12.407
_cell_angle_alpha 90.00
_cell_angle_beta 90.00
_cell_angle_gamma 90.00
_symmetry_space_group_name_H-M 'I -4 2 d'
_symmetry_Int_Tables_number 122
_symmetry_space_group_name_Hall 'I -4 2bw'
loop_
_atom_site_label
_atom_site_type_symbol
_atom_site_fract_x
_atom_site_fract_y
_atom_site_fract_z
Ca1 Ca 0.000 0.000 0.000
P1 P 0.000 0.000 0.500
H1 H 0.004 0.250 0.625
```

Most stable one: entry b, least stable one: entry a.

Entry a
Here is a relaxed Ca4P2H crystal from Alexandria via LeMat-Bulk. Energies are from GGA-PBE.

The structure in CIF format:
```
data_Ca4P2H
_cell_length_a 16.540
_cell_length_b 4.322
_cell_length_c 11.871
_cell_angle_alpha 90.00
_cell_angle_beta 119.87
_cell_angle_gamma 90.00
_symmetry_space_group_name_H-M 'C 1 2/m 1'
_symmetry_Int_Tables_number 12
loop_
_symmetry_equiv_pos_as_xyz
'x,y,z'
'-x,-y,-z'
'-x,y,-z'
'x,-y,z'
'x+1/2,y+1/2,z'
'-x+1/2,-y+1/2,-z'
'-x+1/2,y+1/2,-z'
'x+1/2,-y+1/2,z'
loop_
_atom_site_label
_atom_site_type_symbol
_atom_site_fract_x
_atom_site_fract_y
_atom_site_fract_z
Ca1 Ca 0.047 0.000 0.247
Ca2 Ca 0.082 0.500 0.657
Ca3 Ca 0.190 0.000 0.069
Ca4 Ca 0.238 0.000 0.621
P1 P 0.112 0.500 0.437
P2 P 0.171 0.000 0.817
H1 H 0.192 0.000 0.264
```

Entry b
Here is a relaxed Ca4P2H crystal from Alexandria via LeMat-Bulk. Energies are from GGA-PBE.

The structure in CIF format:
```
data_Ca4P2H
_cell_length_a 4.431
_cell_length_b 4.431
_cell_length_c 15.482
_cell_angle_alpha 90.00
_cell_angle_beta 90.00
_cell_angle_gamma 90.00
_symmetry_space_group_name_H-M 'I 4/m m m'
_symmetry_Int_Tables_number 139
_symmetry_space_group_name_Hall '-I 4 2'
loop_
_atom_site_label
_atom_site_type_symbol
_atom_site_fract_x
_atom_site_fract_y
_atom_site_fract_z
Ca1 Ca 0.000 0.000 0.181
Ca2 Ca 0.000 0.500 0.000
P1 P 0.000 0.000 0.368
H1 H 0.000 0.000 0.000
```

Most stable one: entry a, least stable one: entry b.

Entry a
Here is a relaxed CaP3H crystal from Alexandria via LeMat-Bulk. Energies are from GGA-PBE.

The structure in CIF format:
```
data_CaP3H
_cell_length_a 4.202
_cell_length_b 4.202
_cell_length_c 4.202
_cell_angle_alpha 90.00
_cell_angle_beta 90.00
_cell_angle_gamma 90.00
_symmetry_space_group_name_H-M 'P m -3 m'
_symmetry_Int_Tables_number 221
_symmetry_space_group_name_Hall '-P 4 2 3'
loop_
_atom_site_label
_atom_site_type_symbol
_atom_site_fract_x
_atom_site_fract_y
_atom_site_fract_z
Ca1 Ca 0.000 0.000 0.000
P1 P 0.000 0.500 0.500
H1 H 0.500 0.500 0.500
```

Entry b
Here is a relaxed CaP3H crystal from Alexandria via LeMat-Bulk. Energies are from GGA-PBE.

The structure in CIF format:
```
data_CaP3H
_cell_length_a 5.283
_cell_length_b 5.283
_cell_length_c 5.283
_cell_angle_alpha 90.00
_cell_angle_beta 90.00
_cell_angle_gamma 90.00
_symmetry_space_group_name_H-M 'P m -3 m'
_symmetry_Int_Tables_number 221
_symmetry_space_group_name_Hall '-P 4 2 3'
loop_
_atom_site_label
_atom_site_type_symbol
_atom_site_fract_x
_atom_site_fract_y
_atom_site_fract_z
Ca1 Ca 0.000 0.000 0.000
P1 P 0.000 0.000 0.500
H1 H 0.500 0.500 0.500
```

Most stable one: entry a, least stable one: entry b.